Compound: TlCuGePd
Source: OQMD
Functional: GGA-PBE
Structure: relaxed

```
TlCuGePd
1.0
-0.618 -2.858 3.617
-0.957 1.743 4.205
-4.239 -0.546 1.834
Pd Cu Tl Ge
1 1 1 1
direct
0.250 0.250 0.250
0.750 0.750 0.750
0.500 0.500 0.500
0.000 0.000 0.000
```

Calculated values
Relative energy among the computed polymorphs, meV/atom: 0
DFT total energy, eV/f.u.: -15.4